No. 1
# TmTh4As5, optimized geometry, DFT PBE-GGA
data_TmTh4As5
_chemical_formula_sum 'Tm2 Th8 As10'
_symmetry_space_group_name_H-M 'I 4/m'
_symmetry_Int_Tables_number 87
_symmetry_space_group_name_Hall '-I 4'
_cell_length_a 9.430
_cell_length_b 9.430
_cell_length_c 5.978
_cell_angle_alpha 90.00
_cell_angle_beta 90.00
_cell_angle_gamma 90.00
loop_
_atom_site_label
_atom_site_fract_x
_atom_site_fract_y
_atom_site_fract_z
Tm1 0.000 0.000 0.000
Th1 0.099 0.301 0.500
As1 0.000 0.000 0.500
As2 0.099 0.293 0.000
# V = 531.6 Å³ per cell
# total DFT energy (no corrections) = -7.15 eV per atom
# DOS(E_F) = 5.81 states/eV/f.u.


No. 2
# Ta2RePt, optimized geometry, DFT PBE-GGA
data_Ta2RePt
_chemical_formula_sum 'Ta8 Re4 Pt4'
_symmetry_space_group_name_H-M 'I -4 2 d'
_symmetry_Int_Tables_number 122
_symmetry_space_group_name_Hall 'I -4 2bw'
_cell_length_a 5.971
_cell_length_b 5.971
_cell_length_c 11.138
_cell_angle_alpha 90.00
_cell_angle_beta 90.00
_cell_angle_gamma 90.00
loop_
_atom_site_label
_atom_site_fract_x
_atom_site_fract_y
_atom_site_fract_z
Ta1 0.248 0.250 0.125
Re1 0.000 0.000 0.000
Pt1 0.000 0.000 0.500
# V = 397.2 Å³ per cell
# total DFT energy (no corrections) = -9.44 eV per atom
# DOS(E_F) = 4.36 states/eV/f.u.